A relaxed Pr6Sm2HoMg crystal. Source: the Alexandria database, functional PBE-GGA.

Cell lengths 9.912, 8.830, 8.830 Å; angles 115.50, 95.38, 95.38 degrees
Atoms (fractional coordinates):
Pr 0.050 0.121 0.753
Pr 0.450 0.247 0.879
Pr 0.950 0.879 0.247
Pr 0.550 0.753 0.121
Pr 0.306 0.999 0.428
Pr 0.194 0.572 0.001
Pr 0.694 0.001 0.572
Pr 0.806 0.428 0.999
Pr 0.113 0.700 0.507
Pr 0.387 0.493 0.300
Pr 0.887 0.300 0.493
Pr 0.613 0.507 0.700
Sm 0.446 0.803 0.711
Sm 0.054 0.289 0.197
Sm 0.554 0.197 0.289
Sm 0.946 0.711 0.803
Ho 0.250 0.983 0.017
Ho 0.750 0.017 0.983
Mg 0.250 0.405 0.595
Mg 0.750 0.595 0.405

## Properties
As for the space-group type: C2/c, No. 15. The formation energy is 0.1084 eV per atom. As for the crystal system: monoclinic.

A relaxed Re2NiTe crystal. Source: the Alexandria database, functional PBE-GGA.

Cell lengths 3.146, 3.146, 6.322 Å; angles 90.00, 90.00, 90.00 degrees
Atoms (fractional coordinates):
Ni 0.500 0.500 0.750
Re 0.000 0.000 0.958
Re 0.000 0.000 0.542
Te 0.500 0.500 0.250

## Properties
As for the space-group type: P4/mmm, No. 123. The energy relative to the elements, uncorrected is 595 meV per atom. As for the crystal system: tetragonal.

A relaxed InAsSe2 crystal. Source: the Alexandria database, functional PBE-GGA.

Cell lengths 4.967, 4.967, 4.929 Å; angles 69.71, 69.71, 107.77 degrees
Atoms (fractional coordinates):
As 0.500 0.000 0.500
Se 0.000 0.000 0.000
Se 0.500 0.500 0.000
In 0.000 0.500 0.500

## Properties
As for the space-group type: C2/m, No. 12. The energy relative to the elements, uncorrected is -106 meV per atom. As for the crystal system: monoclinic.

A relaxed Eu2DyBi crystal. Source: the Alexandria database, functional PBE-GGA.

Cell lengths 5.177, 4.974, 4.974 Å; angles 90.00, 90.00, 90.00 degrees
Atoms (fractional coordinates):
Eu 0.000 0.000 0.500
Eu 0.000 0.500 0.000
Bi 0.500 0.000 0.000
Dy 0.500 0.500 0.500

## Properties
As for the space-group type: P4/mmm, No. 123. The formation energy is -0.3817 eV per atom. As for the crystal system: tetragonal.

A relaxed La2AgOs crystal. Source: the Alexandria database, functional PBE-GGA.

Cell lengths 4.247, 4.247, 7.881 Å; angles 74.43, 74.43, 59.97 degrees
Atoms (fractional coordinates):
Os 0.250 0.250 0.250
Ag 0.750 0.750 0.750
La 0.984 0.984 0.048
La 0.516 0.516 0.452

## Properties
As for the space-group type: C2/m, No. 12. The formation energy is -0.0661 eV per atom. As for the crystal system: monoclinic.

A relaxed ZnCd2Au4 crystal. Source: the Alexandria database, functional PBE-GGA.

Cell lengths 4.338, 4.338, 7.789 Å; angles 106.17, 106.17, 90.00 degrees
Atoms (fractional coordinates):
Zn 0.000 0.000 0.000
Cd 0.749 0.749 0.498
Cd 0.251 0.251 0.502
Au 0.393 0.893 0.786
Au 0.893 0.393 0.786
Au 0.607 0.107 0.214
Au 0.107 0.607 0.214

## Properties
As for the space-group type: I4/mmm, No. 139. The formation energy is -0.1235 eV per atom. As for the crystal system: tetragonal.

A relaxed Pm2HgAs crystal. Source: the Alexandria database, functional PBE-GGA.

Cell lengths 4.181, 4.181, 8.020 Å; angles 74.89, 74.89, 60.00 degrees
Atoms (fractional coordinates):
As 0.500 0.500 0.500
Hg 0.000 0.000 0.000
Pm 0.761 0.761 0.718
Pm 0.239 0.239 0.282

## Properties
As for the space-group type: R-3m, No. 166. The formation energy is -0.9369 eV per atom. As for the crystal system: trigonal.

A relaxed PdPtSe5 crystal. Source: the Alexandria database, functional PBE-GGA.

Cell lengths 3.898, 3.898, 22.215 Å; angles 92.95, 92.95, 87.76 degrees
Atoms (fractional coordinates):
Pd 0.000 0.000 0.000
Pd 0.000 0.000 0.500
Pt 0.577 0.423 0.750
Pt 0.423 0.577 0.250
Se 0.266 0.272 0.654
Se 0.504 0.719 0.447
Se 0.272 0.266 0.154
Se 0.067 0.933 0.750
Se 0.281 0.496 0.053
Se 0.719 0.504 0.947
Se 0.933 0.067 0.250
Se 0.728 0.734 0.846
Se 0.496 0.281 0.553
Se 0.734 0.728 0.346

## Properties
As for the space-group type: C2/c, No. 15. The energy relative to the elements, uncorrected is 29 meV per atom. As for the crystal system: monoclinic.

A relaxed PrTl2Cd2Te4 crystal. Source: the Alexandria database, functional PBE-GGA.

Cell lengths 4.513, 8.594, 8.573 Å; angles 106.28, 105.26, 90.00 degrees
Atoms (fractional coordinates):
Pr 0.000 0.000 0.000
Tl 0.127 0.548 0.255
Tl 0.873 0.452 0.745
Cd 0.666 0.979 0.332
Cd 0.334 0.021 0.668
Te 0.207 0.203 0.414
Te 0.793 0.797 0.586
Te 0.505 0.734 0.011
Te 0.495 0.266 0.989

## Properties
As for the space-group type: C2/m, No. 12. The energy relative to the elements, uncorrected is -588 meV per atom. As for the crystal system: monoclinic.

A relaxed CrSi2W crystal. Source: the Alexandria database, functional PBE-GGA.

Cell lengths 2.663, 2.663, 8.189 Å; angles 90.00, 90.00, 106.53 degrees
Atoms (fractional coordinates):
Cr 0.500 0.500 0.760
Si 0.000 0.000 0.983
Si 0.500 0.500 0.253
W 0.000 0.000 0.504

## Properties
As for the space-group type: Cmm2, No. 35. The energy relative to the elements, uncorrected is 218 meV per atom. As for the crystal system: orthorhombic.

A relaxed LaTmIr2 crystal. Source: the Alexandria database, functional PBE-GGA.

Cell lengths 3.399, 3.399, 7.313 Å; angles 90.00, 90.00, 90.00 degrees
Atoms (fractional coordinates):
Ir 0.000 0.000 0.772
Ir 0.000 0.000 0.228
Tm 0.500 0.500 0.000
La 0.500 0.500 0.500

## Properties
As for the space-group type: P4/mmm, No. 123. The formation energy is -0.7080 eV per atom. As for the crystal system: tetragonal.

A relaxed Ac2PmTl crystal. Source: the Alexandria database, functional PBE-GGA.

Cell lengths 3.843, 3.843, 13.184 Å; angles 81.62, 81.62, 60.00 degrees
Atoms (fractional coordinates):
Ac 0.089 0.089 0.733
Ac 0.911 0.911 0.267
Tl 0.000 0.000 0.000
Pm 0.500 0.500 0.500

## Properties
As for the space-group type: R-3m, No. 166. The formation energy is 0.1181 eV per atom. As for the crystal system: trigonal.

A relaxed FeMo2Br crystal. Source: the Alexandria database, functional PBE-GGA.

Cell lengths 4.361, 4.361, 4.361 Å; angles 60.00, 60.00, 60.00 degrees
Atoms (fractional coordinates):
Mo 0.250 0.250 0.250
Mo 0.750 0.750 0.750
Fe 0.000 0.000 0.000
Br 0.500 0.500 0.500

## Properties
As for the space-group type: Fm-3m, No. 225. The energy relative to the elements, uncorrected is 886 meV per atom. As for the crystal system: cubic.

A relaxed Na2SrP crystal. Source: the Alexandria database, functional PBE-GGA.

Cell lengths 4.562, 5.812, 9.434 Å; angles 90.00, 90.00, 113.11 degrees
Atoms (fractional coordinates):
Na 0.334 0.668 0.561
Na 0.666 0.332 0.439
Na 0.334 0.668 0.939
Na 0.666 0.332 0.061
Sr 0.950 0.900 0.250
Sr 0.050 0.100 0.750
P 0.750 0.499 0.750
P 0.250 0.501 0.250

## Properties
As for the space-group type: Cmcm, No. 63. The formation energy is -0.4163 eV per atom. As for the crystal system: orthorhombic.

A relaxed EuTeI crystal. Source: the Alexandria database, functional PBE-GGA.

Cell lengths 3.882, 3.882, 8.113 Å; angles 103.84, 103.84, 90.00 degrees
Atoms (fractional coordinates):
Eu 0.667 0.667 0.333
I 0.039 0.039 0.078
Te 0.294 0.294 0.589

## Properties
As for the space-group type: I4mm, No. 107. The energy relative to the elements, uncorrected is -1105 meV per atom. As for the crystal system: tetragonal.

A relaxed CrIr4 crystal. Source: the Alexandria database, functional PBE-GGA.

Cell lengths 4.416, 4.416, 4.416 Å; angles 90.00, 90.00, 90.00 degrees
Atoms (fractional coordinates):
Cr 0.500 0.500 0.500
Ir 0.000 0.000 0.000
Ir 0.500 0.000 0.500
Ir 0.000 0.500 0.500
Ir 0.500 0.500 0.000

## Properties
As for the space-group type: Pm-3m, No. 221. The formation energy is 1.5828 eV per atom. As for the crystal system: cubic.

A relaxed SmYHgGe crystal. Source: the Alexandria database, functional PBE-GGA.

Cell lengths 5.207, 5.207, 5.207 Å; angles 60.00, 60.00, 60.00 degrees
Atoms (fractional coordinates):
Y 0.500 0.500 0.500
Ge 0.250 0.250 0.250
Hg 0.750 0.750 0.750
Sm 0.000 0.000 0.000

## Properties
As for the space-group type: F-43m, No. 216. The formation energy is -0.5724 eV per atom. As for the crystal system: cubic.

A relaxed KCaIr2 crystal. Source: the Alexandria database, functional PBE-GGA.

Cell lengths 5.530, 5.530, 5.530 Å; angles 136.41, 136.41, 63.34 degrees
Atoms (fractional coordinates):
Ca 0.250 0.750 0.500
Ir 0.000 0.000 0.000
Ir 0.500 0.500 0.000
K 0.750 0.250 0.500

## Properties
As for the space-group type: I4/mmm, No. 139. The formation energy is 0.6063 eV per atom. As for the crystal system: tetragonal.

A relaxed RbGa2Ge crystal. Source: the Alexandria database, functional PBE-GGA.

Cell lengths 5.364, 5.364, 9.683 Å; angles 73.92, 73.92, 90.00 degrees
Atoms (fractional coordinates):
Ge 0.500 0.500 0.000
Ge 0.250 0.750 0.500
Ga 0.375 0.125 0.250
Ga 0.375 0.625 0.250
Ga 0.375 0.625 0.750
Ga 0.875 0.625 0.750
Rb 0.000 0.000 0.000
Rb 0.750 0.250 0.500

## Properties
As for the space-group type: I4_1/amd, No. 141. The formation energy is 0.0602 eV per atom. As for the crystal system: tetragonal.

A relaxed AgP2Ir crystal. Source: the Alexandria database, functional PBE-GGA.

Cell lengths 5.863, 5.863, 5.863 Å; angles 151.95, 131.55, 56.92 degrees
Atoms (fractional coordinates):
Ag 0.750 0.250 0.500
Ir 0.250 0.750 0.500
P 0.064 0.064 0.000
P 0.436 0.436 0.000

## Properties
As for the space-group type: Immm, No. 71. The formation energy is 0.2311 eV per atom. As for the crystal system: orthorhombic.

no.,magnetization (μB per atom),mass density (g/cm3)
1,0.00,6.46
2,0.00,14.82
3,0.00,6.16
4,3.86,8.76
5,0.00,8.17
6,0.00,13.29
7,0.00,8.11
8,0.00,6.88
9,0.00,6.95
10,0.00,8.71
11,0.00,13.60
12,0.00,8.03
13,0.00,9.27
14,0.18,2.38
15,2.20,5.87
16,0.00,15.83
17,0.00,8.52
18,0.00,9.70
19,0.00,3.85
20,0.00,8.53